(1)
{"formula": "Er3Tm4Ni4", "functional": "PBE", "state": "optimized geometry", "lattice_angstrom": [[-1.801, 4.315, 7.866], [1.801, -4.315, 7.866], [1.801, 4.315, -7.866]], "species": ["Er", "Er", "Er", "Tm", "Tm", "Tm", "Tm", "Ni", "Ni", "Ni", "Ni"], "frac_coords": [[0.000, 0.000, 0.000], [0.400, 0.900, 0.500], [0.600, 0.100, 0.500], [0.020, 0.334, 0.686], [0.352, 0.666, 0.686], [0.648, 0.334, 0.314], [0.980, 0.666, 0.314], [0.253, 0.253, 0.000], [0.297, 0.500, 0.797], [0.703, 0.500, 0.203], [0.747, 0.747, 0.000]], "crystal_system": "orthorhombic"}

=====

(2)
{"formula": "KCd2Ni", "functional": "PBE", "state": "optimized geometry", "lattice_angstrom": [[-1.538, 2.166, 7.854], [1.538, -2.166, 7.854], [1.538, 2.166, -7.854]], "species": ["K", "Cd", "Cd", "Ni"], "frac_coords": [[0.000, 0.000, 0.000], [0.333, 0.333, 0.000], [0.683, 0.183, 0.500], [0.193, 0.693, 0.500]], "relative_energy_mev_per_atom": 17, "crystal_system": "orthorhombic"}

=====

Number 1: energy -5.24 eV per atom, Fermi-level density of states 10.86 states/eV per cell. Number 2: energy -2.06 eV per atom, Fermi-level density of states 1.91 states/eV per cell.